# 1
# Tm6Zn2Os

A geometry-optimized Tm6Zn2Os structure (PBE-GGA, the Alexandria database).

Cell lengths 8.2598, 8.2598, 8.2598 Å; angles 111.74, 109.56, 107.15 degrees
Element x y z (fractional)
Tm (0.1887, 0.2628, 0.4515)
Tm (0.1887, 0.7372, 0.9258)
Tm (0.0728, 0.2478, 0.8250)
Tm (0.7288, 0.4006, 0.6718)
Tm (0.2712, 0.9430, 0.6718)
Tm (0.4227, 0.2478, 0.1750)
Tm (0.8113, 0.2628, 0.0742)
Tm (0.9272, 0.7522, 0.1750)
Tm (0.5773, 0.7522, 0.8250)
Tm (0.2712, 0.5994, 0.3282)
Tm (0.7288, 0.0570, 0.3282)
Tm (0.8113, 0.7372, 0.5485)
Zn (0.5000, 0.3696, 0.8696)
Zn (0.5000, 0.6304, 0.1304)
Zn (0.3650, 0.0000, 0.3650)
Zn (0.6350, 0.0000, 0.6350)
Os (0.0000, 0.5000, 0.5000)
Os (0.0000, 0.0000, 0.0000)

Calculated values
* total magnetic moment: 0.00 μB per formula unit
* Fermi-level density of states: 14.29 states/eV/cell
* ΔH_f (0 K): -2.14 eV/f.u.
* ρ: 10.23 g cm⁻³

=====

# 2
# Tm6ZnOs2

A geometry-optimized Tm6ZnOs2 structure (PBE-GGA, the Alexandria database).

Cell lengths 8.3253, 8.3253, 8.3253 Å; angles 102.86, 113.45, 112.31 degrees
Element x y z (fractional)
Os (0.5000, 0.6253, 0.1253)
Os (0.3151, 0.0000, 0.3151)
Os (0.6849, 0.0000, 0.6849)
Os (0.5000, 0.3747, 0.8747)
Tm (0.6843, 0.3512, 0.6669)
Tm (0.6843, 0.0173, 0.3331)
Tm (0.9015, 0.7202, 0.1814)
Tm (0.4612, 0.2798, 0.1814)
Tm (0.8014, 0.2461, 0.0475)
Tm (0.5388, 0.7202, 0.8186)
Tm (0.8014, 0.7539, 0.5552)
Tm (0.0985, 0.2798, 0.8186)
Tm (0.3157, 0.9827, 0.6669)
Tm (0.1986, 0.7539, 0.9525)
Tm (0.1986, 0.2461, 0.4448)
Tm (0.3157, 0.6488, 0.3331)
Zn (0.0000, 0.0000, 0.0000)
Zn (0.0000, 0.5000, 0.5000)

Calculated values
* total magnetic moment: 0.00 μB per formula unit
* Fermi-level density of states: 16.76 states/eV/cell
* ΔH_f (0 K): -2.59 eV/f.u.
* ρ: 11.02 g cm⁻³

=====

# 3
# Tm3Zn2Os

A geometry-optimized Tm3Zn2Os structure (PBE-GGA, the Alexandria database).

Cell lengths 3.4491, 3.4491, 10.5448 Å; angles 90.00, 90.00, 90.00 degrees
Element x y z (fractional)
Tm (0.0000, 0.0000, 0.0000)
Tm (0.0000, 0.0000, 0.6527)
Tm (0.0000, 0.0000, 0.3473)
Zn (0.5000, 0.5000, 0.8312)
Zn (0.5000, 0.5000, 0.1688)
Os (0.5000, 0.5000, 0.5000)

Calculated values
* total magnetic moment: 0.00 μB per formula unit
* Fermi-level density of states: 5.08 states/eV/cell
* ΔH_f (0 K): -2.16 eV/f.u.
* ρ: 10.96 g cm⁻³
* ΔE to the lowest computed polymorph: 0.58 kcal/mol of atoms

=====

# 4
# Tm4ZnOs

A geometry-optimized Tm4ZnOs structure (PBE-GGA, the Alexandria database).

Cell lengths 9.3865, 9.3865, 9.3865 Å; angles 60.00, 60.00, 60.00 degrees
Element x y z (fractional)
Tm (0.5574, 0.5574, 0.9426)
Tm (0.3991, 0.8028, 0.3991)
Tm (0.3991, 0.3991, 0.3991)
Tm (0.1912, 0.8088, 0.1912)
Tm (0.8088, 0.8088, 0.1912)
Tm (0.1912, 0.1912, 0.8088)
Tm (0.8088, 0.1912, 0.1912)
Tm (0.8088, 0.1912, 0.8088)
Tm (0.9426, 0.5574, 0.5574)
Tm (0.5574, 0.9426, 0.9426)
Tm (0.3991, 0.3991, 0.8028)
Tm (0.9426, 0.5574, 0.9426)
Tm (0.5574, 0.9426, 0.5574)
Tm (0.9426, 0.9426, 0.5574)
Tm (0.1912, 0.8088, 0.8088)
Tm (0.8028, 0.3991, 0.3991)
Zn (0.1730, 0.4810, 0.1730)
Zn (0.1730, 0.1730, 0.4810)
Zn (0.1730, 0.1730, 0.1730)
Zn (0.4810, 0.1730, 0.1730)
Os (0.1710, 0.6097, 0.6097)
Os (0.6097, 0.6097, 0.1710)
Os (0.6097, 0.1710, 0.6097)
Os (0.6097, 0.6097, 0.6097)

Calculated values
* total magnetic moment: 0.00 μB per formula unit
* Fermi-level density of states: 30.95 states/eV/cell
* ΔH_f (0 K): -1.65 eV/f.u.
* ρ: 10.58 g cm⁻³
* ΔE to the lowest computed polymorph: 0.00 kcal/mol of atoms

=====

# 5
# Tm3Zn2Os

A geometry-optimized Tm3Zn2Os structure (PBE-GGA, the Alexandria database).

Cell lengths 4.8643, 4.8643, 6.0155 Å; angles 90.00, 90.00, 120.00 degrees
Element x y z (fractional)
Zn (0.6667, 0.3333, 0.3411)
Zn (0.3333, 0.6667, 0.6589)
Tm (0.0000, 0.0000, 0.5000)
Tm (0.6667, 0.3333, 0.8472)
Tm (0.3333, 0.6667, 0.1528)
Os (0.0000, 0.0000, 0.0000)

Calculated values
* total magnetic moment: 0.00 μB per formula unit
* Fermi-level density of states: 2.51 states/eV/cell
* ΔH_f (0 K): -2.31 eV/f.u.
* ρ: 11.15 g cm⁻³
* ΔE to the lowest computed polymorph: 0.00 kcal/mol of atoms

=====

# 6
# Tm5Zn4Os

A geometry-optimized Tm5Zn4Os structure (PBE-GGA, the Alexandria database).

Cell lengths 3.4656, 3.4656, 17.6815 Å; angles 90.00, 90.00, 90.00 degrees
Element x y z (fractional)
Tm (0.5000, 0.5000, 0.9095)
Tm (0.5000, 0.5000, 0.7018)
Tm (0.5000, 0.5000, 0.2982)
Tm (0.5000, 0.5000, 0.0905)
Tm (0.5000, 0.5000, 0.5000)
Zn (0.0000, 0.0000, 0.1981)
Zn (0.0000, 0.0000, 0.3992)
Zn (0.0000, 0.0000, 0.6008)
Zn (0.0000, 0.0000, 0.8019)
Os (0.0000, 0.0000, 0.0000)

Calculated values
* total magnetic moment: 0.00 μB per formula unit
* Fermi-level density of states: 6.96 states/eV/cell
* ΔH_f (0 K): -3.60 eV/f.u.
* ρ: 10.14 g cm⁻³

=====

# 7
# Tm7Zn2Os2

A geometry-optimized Tm7Zn2Os2 structure (PBE-GGA, the Alexandria database).

Cell lengths 6.5500, 7.0081, 6.5500 Å; angles 90.00, 107.98, 90.00 degrees
Element x y z (fractional)
Tm (0.5000, 0.2602, 0.0000)
Tm (0.5000, 0.2483, 0.5000)
Tm (0.0000, 0.7398, 0.5000)
Tm (0.5000, 0.7398, 0.0000)
Tm (0.0000, 0.0000, 0.0000)
Tm (0.0000, 0.2602, 0.5000)
Tm (0.5000, 0.7517, 0.5000)
Zn (0.1693, 0.5000, 0.1693)
Zn (0.8307, 0.5000, 0.8307)
Os (0.2946, 0.0000, 0.7054)
Os (0.7054, 0.0000, 0.2946)

Calculated values
* total magnetic moment: 0.00 μB per formula unit
* Fermi-level density of states: 8.23 states/eV/cell
* ΔH_f (0 K): -1.54 eV/f.u.
* ρ: 9.84 g cm⁻³

=====

# 8
# Tm4ZnOs

A geometry-optimized Tm4ZnOs structure (PBE-GGA, the Alexandria database).

Cell lengths 4.8026, 4.8031, 6.8156 Å; angles 89.97, 89.99, 90.00 degrees
Element x y z (fractional)
Tm (0.5012, 0.9970, 0.2607)
Tm (0.0014, 0.4976, 0.7356)
Tm (0.0012, 0.4970, 0.2607)
Tm (0.5014, 0.9976, 0.7356)
Os (0.0013, 0.9973, 0.4981)
Zn (0.5013, 0.4972, 0.9982)

Calculated values
* total magnetic moment: 0.00 μB per formula unit
* Fermi-level density of states: 7.69 states/eV/cell
* ΔH_f (0 K): -0.85 eV/f.u.
* ρ: 9.84 g cm⁻³
* ΔE to the lowest computed polymorph: 3.06 kcal/mol of atoms

=====

# 9
# TmZnOs

A geometry-optimized TmZnOs structure (PBE-GGA, the Alexandria database).

Cell lengths 5.2708, 5.2708, 13.8283 Å; angles 79.01, 79.01, 60.00 degrees
Element x y z (fractional)
Tm (0.8213, 0.8213, 0.5362)
Tm (0.7322, 0.7322, 0.8035)
Tm (0.0402, 0.0402, 0.8795)
Tm (0.1787, 0.1787, 0.4638)
Tm (0.2678, 0.2678, 0.1965)
Tm (0.9598, 0.9598, 0.1205)
Zn (0.2795, 0.2795, 0.6680)
Zn (0.2270, 0.7205, 0.3320)
Zn (0.7205, 0.2270, 0.3320)
Zn (0.7205, 0.7205, 0.3320)
Zn (0.2795, 0.7730, 0.6680)
Zn (0.7730, 0.2795, 0.6680)
Os (0.5000, 0.5000, 0.5000)
Os (0.3883, 0.3883, 0.8352)
Os (0.5000, 0.0000, 0.0000)
Os (0.0000, 0.5000, 0.0000)
Os (0.6117, 0.6117, 0.1648)
Os (0.5000, 0.5000, 0.0000)

Calculated values
* total magnetic moment: 0.00 μB per formula unit
* Fermi-level density of states: 10.33 states/eV/cell
* ΔH_f (0 K): -1.03 eV/f.u.
* ρ: 13.03 g cm⁻³

=====

# 10
# Tm6Zn5Os

A geometry-optimized Tm6Zn5Os structure (PBE-GGA, the Alexandria database).

Cell lengths 4.9188, 7.0241, 7.7714 Å; angles 90.00, 71.55, 90.00 degrees
Element x y z (fractional)
Zn (0.0000, 0.5000, 0.0000)
Zn (0.6684, 0.5000, 0.6632)
Zn (0.6731, 0.0000, 0.6538)
Zn (0.3316, 0.5000, 0.3368)
Zn (0.3269, 0.0000, 0.3462)
Tm (0.5000, 0.7627, 0.0000)
Tm (0.8396, 0.2438, 0.3208)
Tm (0.1604, 0.2438, 0.6792)
Tm (0.8396, 0.7562, 0.3208)
Tm (0.5000, 0.2373, 0.0000)
Tm (0.1604, 0.7562, 0.6792)
Os (0.0000, 0.0000, 0.0000)

Calculated values
* total magnetic moment: 0.00 μB per formula unit
* Fermi-level density of states: 6.68 states/eV/cell
* ΔH_f (0 K): -4.65 eV/f.u.
* ρ: 9.98 g cm⁻³

=====

# 11
# TmZnOs

A geometry-optimized TmZnOs structure (PBE-GGA, the Alexandria database).

Cell lengths 5.3184, 5.3250, 5.3250 Å; angles 59.43, 60.04, 60.04 degrees
Element x y z (fractional)
Zn (0.5000, 0.0000, 0.5000)
Zn (0.5000, 0.5000, 0.0000)
Os (0.5000, 0.0000, 0.0000)
Os (0.0000, 0.0000, 0.0000)
Tm (0.8836, 0.3664, 0.3664)
Tm (0.1164, 0.6336, 0.6336)

Calculated values
* total magnetic moment: 0.00 μB per formula unit
* Fermi-level density of states: 4.24 states/eV/cell
* ΔH_f (0 K): -1.01 eV/f.u.
* ρ: 13.27 g cm⁻³

=====

# 12
# Tm2Zn16Os

A geometry-optimized Tm2Zn16Os structure (PBE-GGA, the Alexandria database).

Cell lengths 6.7565, 6.7565, 6.7565 Å; angles 82.86, 82.86, 82.86 degrees
Element x y z (fractional)
Zn (0.2862, 0.7093, 0.9968)
Zn (0.9962, 0.9962, 0.5047)
Zn (0.5047, 0.9962, 0.9962)
Zn (0.3597, 0.3597, 0.8351)
Zn (0.7093, 0.9968, 0.2862)
Zn (0.3597, 0.8351, 0.3597)
Zn (0.7093, 0.2862, 0.9968)
Zn (0.1037, 0.1037, 0.1037)
Zn (0.6455, 0.1483, 0.6455)
Zn (0.9962, 0.5047, 0.9962)
Zn (0.8351, 0.3597, 0.3597)
Zn (0.1483, 0.6455, 0.6455)
Zn (0.9968, 0.2862, 0.7093)
Zn (0.6455, 0.6455, 0.1483)
Zn (0.2862, 0.9968, 0.7093)
Zn (0.9968, 0.7093, 0.2862)
Tm (0.6803, 0.6803, 0.6803)
Tm (0.3390, 0.3390, 0.3390)
Os (0.9013, 0.9013, 0.9013)

Calculated values
* total magnetic moment: 0.00 μB per formula unit
* Fermi-level density of states: 6.41 states/eV/cell
* ΔH_f (0 K): -3.15 eV/f.u.
* ρ: 8.66 g cm⁻³

=====

Which of these has the lowest ΔH_f (0 K)?
Tm6Zn5Os